(1)
Computed, not measured: a relaxed structure of Mn2AgW at the GGA-PBE level of DFT.

The structure in extended XYZ format:
```
8
Lattice="2.848 0.000 0.000 0.000 4.475 0.000 0.000 0.000 9.126" Properties=species:S:1:pos:R:3 pbc="T T T"
Mn 0.000 0.000 0.000
Mn 0.000 2.238 2.602
Mn 1.424 0.000 7.165
Mn 1.424 2.238 4.563
Ag 0.000 0.000 4.800
Ag 1.424 2.238 0.237
W 0.000 2.238 6.814
W 1.424 0.000 2.251
```

* DFT formation energy: 488 meV/atom
* DOS(E_F): 1.019 states/eV/atom
* excess energy over the best structure of this formula in the dataset: 0.164 eV/atom

(2)
Computed, not measured: a relaxed structure of CuTe2Br at the GGA-PBE level of DFT.

The structure in extended XYZ format:
```
8
Lattice="3.676 0.000 0.000 0.000 6.537 0.000 0.000 0.000 9.414" Properties=species:S:1:pos:R:3 pbc="T T T"
Cu 0.000 0.000 0.000
Cu 1.838 3.269 0.000
Te 0.000 0.000 4.272
Te 0.000 3.269 1.848
Te 1.838 0.000 1.848
Te 1.838 3.269 4.272
Br 0.000 3.269 7.867
Br 1.838 0.000 7.867
```

* DOS(E_F): 0.614 states/eV/atom
* energy relative to the elements, uncorrected: 66 meV/atom

Copy entry 1 word for word.
Computed, not measured: a relaxed structure of Mn2AgW at the GGA-PBE level of DFT.

The structure in extended XYZ format:
```
8
Lattice="2.848 0.000 0.000 0.000 4.475 0.000 0.000 0.000 9.126" Properties=species:S:1:pos:R:3 pbc="T T T"
Mn 0.000 0.000 0.000
Mn 0.000 2.238 2.602
Mn 1.424 0.000 7.165
Mn 1.424 2.238 4.563
Ag 0.000 0.000 4.800
Ag 1.424 2.238 0.237
W 0.000 2.238 6.814
W 1.424 0.000 2.251
```

* DFT formation energy: 488 meV/atom
* DOS(E_F): 1.019 states/eV/atom
* excess energy over the best structure of this formula in the dataset: 0.164 eV/atom

Q: Look up the DOS(E_F) of the first one.
A: 1.019 states/eV/atom